CaHo2Tm3Bi6 (PBE, relaxed); electronic total energy = -4.77 eV/atom; DOS at the Fermi energy = 0.262 states/eV per atom; space-group type = C2/m
1.0
-1.4413 -0.9565 4.1118
3.6320 -8.1719 -0.6279
7.9276 5.8523 1.7205
Ho Tm Bi Ca
2 3 6 1
direct
0.8340 0.6684 0.6680
0.1660 0.3316 0.3320
0.5000 0.5000 0.0000
0.1647 0.8336 0.3294
0.8353 0.1664 0.6706
0.6667 0.5843 0.3334
0.3301 0.9161 0.6602
0.0000 0.2578 0.0000
0.0000 0.7422 0.0000
0.3333 0.4157 0.6666
0.6699 0.0839 0.3398
0.5000 0.0000 0.0000

---

Ca2HoZrBi4 (PBE, relaxed); electronic total energy = -4.73 eV/atom; DOS at the Fermi energy = 0.379 states/eV per atom; space-group type = P2/m
1.0
-2.7733 2.6751 2.0784
-5.6662 -5.0163 -1.1041
3.5459 -1.7212 6.9469
Bi Ca Ho Zr
4 2 1 1
direct
0.0000 0.2456 0.7648
0.5000 0.7658 0.7701
0.0000 0.7544 0.2352
0.5000 0.2342 0.2299
0.0000 0.5000 0.5000
0.5000 0.0000 0.5000
0.5000 0.5000 0.0000
0.0000 0.0000 0.0000

---

CaBiI6 (PBE, relaxed); ΔE_f (raw) = -0.685 eV/atom; DOS at the Fermi energy = 1.777 states/eV per atom; space-group type = P-1
1.0
-2.0885 -7.0054 2.6576
1.6804 -2.0279 7.3114
-5.9230 -0.4804 5.3514
I Ca Bi
6 1 1
direct
0.4305 0.7565 0.7492
0.9355 0.5683 0.2536
0.0645 0.4317 0.7464
0.2435 0.9370 0.2525
0.5695 0.2435 0.2508
0.7565 0.0630 0.7475
0.5000 0.5000 0.5000
0.0000 0.0000 0.0000

---

CaBi3I (PBE, relaxed); ΔE_f (raw) = 0.493 eV/atom; DOS at the Fermi energy = 0.928 states/eV per atom; space-group type = Pm-3m; energy above the most stable polymorph in this dataset = 0.17 eV/f.u.
1.0
-4.1307 3.0875 -2.9527
1.7906 -2.4777 -5.0960
-3.8787 -4.4320 0.7919
Bi I Ca
3 1 1
direct
0.5000 0.0000 0.0000
0.0000 0.5000 0.0000
0.0000 0.0000 0.5000
0.0000 0.0000 0.0000
0.5000 0.5000 0.5000

---

Ca4BiI5 (PBE, relaxed); ΔE_f (raw) = -1.433 eV/atom; space-group type = C2/m
1.0
4.5840 0.0000 0.0000
0.0000 9.1289 -0.4817
-2.2920 -1.8010 9.7973
I Bi Ca
5 1 4
direct
0.5000 0.5000 0.0000
0.8325 0.6677 0.6649
0.8300 0.1522 0.6600
0.1700 0.8478 0.3400
0.1675 0.3323 0.3351
0.5000 0.0000 0.0000
0.0032 0.2391 0.0065
0.9968 0.7609 0.9935
0.3382 0.9062 0.6764
0.6618 0.0938 0.3236

---

Ca2Bi2I (PBE, relaxed); ΔE_f (raw) = -0.633 eV/atom; DOS at the Fermi energy = 0.877 states/eV per atom; space-group type = I4/mmm; energy above the most stable polymorph in this dataset = 0.62 eV/f.u.
1.0
6.0809 0.0000 0.0000
0.0000 6.0809 0.0000
3.0405 3.0405 5.1912
Bi Ca I
2 2 1
direct
0.6409 0.6409 0.7181
0.3591 0.3591 0.2819
0.2500 0.7500 0.5000
0.7500 0.2500 0.5000
0.0000 0.0000 0.0000

---

CaBi3I (PBE, relaxed); ΔE_f (raw) = 0.459 eV/atom; DOS at the Fermi energy = 2.189 states/eV per atom; space-group type = Pm-3m; energy above the most stable polymorph in this dataset = 0.00 eV/f.u.
1.0
5.9436 0.0000 0.0000
0.0000 5.9436 0.0000
0.0000 0.0000 5.9436
I Bi Ca
1 3 1
direct
0.5000 0.5000 0.5000
0.0000 0.0000 0.5000
0.0000 0.5000 0.0000
0.5000 0.0000 0.0000
0.0000 0.0000 0.0000

---

CaBi2I (PBE, relaxed); ΔE_f (raw) = -0.516 eV/atom; DOS at the Fermi energy = 0.350 states/eV per atom; space-group type = I-42d; energy above the most stable polymorph in this dataset = 0.00 eV/f.u.
1.0
-3.3386 -2.4665 -2.0856
2.3319 0.2349 -4.0108
5.9901 -12.5319 0.0587
Ca I Bi
2 2 4
direct
0.5000 0.5000 0.0000
0.2500 0.7500 0.5000
0.7500 0.2500 0.5000
0.0000 0.0000 0.0000
0.3750 0.4168 0.7500
0.8750 0.8332 0.7500
0.1668 0.6250 0.2500
0.5832 0.1250 0.2500

---

Ca3BiI (PBE, relaxed); ΔE_f (raw) = -0.439 eV/atom; DOS at the Fermi energy = 0.555 states/eV per atom; space-group type = Pm-3m; energy above the most stable polymorph in this dataset = 0.00 eV/f.u.
1.0
-4.9907 0.7019 3.4220
-1.8916 -5.5600 -1.6183
2.9368 -2.3884 4.7729
Ca Bi I
3 1 1
direct
0.5000 0.0000 0.0000
0.0000 0.5000 0.0000
0.0000 0.0000 0.5000
0.0000 0.0000 0.0000
0.5000 0.5000 0.5000

---

CaBi2I (PBE, relaxed); ΔE_f (raw) = -0.010 eV/atom; DOS at the Fermi energy = 2.112 states/eV per atom; space-group type = Fm-3m; energy above the most stable polymorph in this dataset = 2.02 eV/f.u.
1.0
0.0000 4.0682 4.0682
4.0682 0.0000 4.0682
4.0682 4.0682 0.0000
I Bi Ca
1 2 1
direct
0.5000 0.5000 0.5000
0.7500 0.7500 0.7500
0.2500 0.2500 0.2500
0.0000 0.0000 0.0000

---

Ca2Bi2I (PBE, relaxed); ΔE_f (raw) = -0.757 eV/atom; DOS at the Fermi energy = 1.020 states/eV per atom; space-group type = P4/mbm; energy above the most stable polymorph in this dataset = 0.00 eV/f.u.
1.0
8.5766 0.0000 0.0000
0.0000 8.5766 0.0000
0.0000 0.0000 4.6738
I Bi Ca
2 4 4
direct
0.5000 0.5000 0.0000
0.0000 0.0000 0.0000
0.6230 0.8770 0.5000
0.3770 0.1230 0.5000
0.1230 0.6230 0.5000
0.8770 0.3770 0.5000
0.8316 0.6684 0.0000
0.6684 0.1684 0.0000
0.3316 0.8316 0.0000
0.1684 0.3316 0.0000

---

Ca3BiI (PBE, relaxed); ΔE_f (raw) = -0.245 eV/atom; DOS at the Fermi energy = 1.005 states/eV per atom; space-group type = Pm-3m; energy above the most stable polymorph in this dataset = 0.97 eV/f.u.
1.0
-5.4373 1.9829 0.4066
-1.6032 -3.5071 -4.3349
-1.2358 -4.1749 3.8347
Bi Ca I
1 3 1
direct
0.5000 0.5000 0.5000
0.0000 0.5000 0.0000
0.0000 0.0000 0.5000
0.5000 0.0000 0.0000
0.0000 0.0000 0.0000

---

CaInBiI2 (PBE, relaxed); ΔE_f (raw) = -0.064 eV/atom; DOS at the Fermi energy = 0.650 states/eV per atom; space-group type = P4/mmm
1.0
6.3205 0.0000 0.0000
0.0000 6.1625 0.0000
0.0000 0.0000 6.3205
Bi Ca I In
1 1 2 1
direct
0.0000 0.0000 0.0000
0.0000 0.5000 0.0000
0.5000 0.0000 0.0000
0.0000 0.0000 0.5000
0.5000 0.5000 0.5000

---

KCaBi2I (PBE, relaxed); ΔE_f (raw) = 0.032 eV/atom; DOS at the Fermi energy = 0.752 states/eV per atom; space-group type = P4/mmm
1.0
-5.6095 -2.8619 -0.1070
1.3164 -2.3922 -5.0303
2.4705 -4.9546 3.0028
Bi Ca K I
2 1 1 1
direct
0.5000 0.0000 0.0000
0.0000 0.0000 0.5000
0.0000 0.5000 0.0000
0.5000 0.5000 0.5000
0.0000 0.0000 0.0000

---

KCaBiI6 (PBE, relaxed); ΔE_f (raw) = -1.069 eV/atom; DOS at the Fermi energy = 0.000 states/eV per atom; space-group type = P312
1.0
-5.8815 1.8944 -5.1514
1.4421 0.0374 -7.9141
-2.0628 -7.5228 -0.4117
I K Bi Ca
6 1 1 1
direct
0.6315 0.0034 0.2685
0.0034 0.6315 0.7315
0.3650 0.0034 0.7315
0.3650 0.6315 0.2685
0.0034 0.3651 0.2685
0.6315 0.3651 0.7315
0.0000 0.0000 0.0000
0.3333 0.3333 0.5000
0.6666 0.6667 0.5000

---

KCa2BiI8 (PBE, relaxed); ΔE_f (raw) = -1.147 eV/atom; DOS at the Fermi energy = 0.000 states/eV per atom; space-group type = P2/m
1.0
7.7017 -0.0015 -0.0044
0.0414 7.2648 -0.0072
0.0076 0.0126 9.6676
Ca Bi I K
2 1 8 1
direct
0.5001 0.5000 0.7487
0.4999 0.5000 0.2513
0.0000 0.0000 0.0000
0.3407 0.2510 0.0001
0.1603 0.7493 0.2263
0.3637 0.2693 0.5001
0.6363 0.7307 0.4999
0.8394 0.2504 0.2263
0.1606 0.7496 0.7737
0.8397 0.2507 0.7737
0.6593 0.7490 0.9999
0.0000 0.0000 0.5000

---

CaLa2BiI (PBE, relaxed); ΔE_f (raw) = -0.154 eV/atom; DOS at the Fermi energy = 1.454 states/eV per atom; space-group type = P4/mmm
1.0
6.2679 0.0000 0.0000
0.0000 5.9518 0.0000
0.0000 0.0000 6.2679
La Ca Bi I
2 1 1 1
direct
0.5000 0.0000 0.0000
0.0000 0.0000 0.5000
0.0000 0.5000 0.0000
0.0000 0.0000 0.0000
0.5000 0.5000 0.5000

---

LiCa2BiI (PBE, relaxed); ΔE_f (raw) = -0.564 eV/atom; DOS at the Fermi energy = 0.630 states/eV per atom; space-group type = P4/mmm
1.0
6.1331 0.0000 0.0000
0.0000 5.2575 0.0000
0.0000 0.0000 6.1331
Li Ca Bi I
1 2 1 1
direct
0.0000 0.5000 0.0000
0.5000 0.0000 0.0000
0.0000 0.0000 0.5000
0.0000 0.0000 0.0000
0.5000 0.5000 0.5000

---

CaMn2BiI (PBE, relaxed); ΔE_f (raw) = 0.785 eV/atom; DOS at the Fermi energy = 0.905 states/eV per atom; space-group type = P4/mmm
1.0
-4.3001 2.4453 0.7221
-3.0052 -4.1314 -3.9048
-1.0210 -2.9487 3.9057
Bi Ca I Mn
1 1 1 2
direct
0.0000 0.5000 0.0000
0.5000 0.5000 0.5000
0.0000 0.0000 0.0000
0.5000 0.0000 0.0000
0.0000 0.0000 0.5000

---

CaBiI2N (PBE, relaxed); ΔE_f (raw) = 0.384 eV/atom; DOS at the Fermi energy = 1.522 states/eV per atom; space-group type = P4/mmm; energy above the most stable polymorph in this dataset = 1.10 eV/f.u.
1.0
6.1419 0.0000 0.0000
0.0000 6.1419 0.0000
0.0000 0.0000 4.1829
Bi I Ca N
1 2 1 1
direct
0.5000 0.5000 0.5000
0.5000 0.0000 0.0000
0.0000 0.5000 0.0000
0.0000 0.0000 0.0000
0.0000 0.0000 0.5000

---

CaBiI2N (PBE, relaxed); ΔE_f (raw) = 0.164 eV/atom; DOS at the Fermi energy = 0.344 states/eV per atom; space-group type = P4/mmm; energy above the most stable polymorph in this dataset = 0.00 eV/f.u.
1.0
-1.5814 6.2741 -0.1011
-6.0254 -1.4892 1.8310
1.1450 0.3540 4.0559
Bi Ca N I
1 1 1 2
direct
0.0000 0.0000 0.0000
0.5000 0.5000 0.5000
0.0000 0.0000 0.5000
0.0000 0.5000 0.0000
0.5000 0.0000 0.0000

---

CaBiIO2 (PBE, relaxed); ΔE_f (raw) = -0.785 eV/atom; DOS at the Fermi energy = 0.374 states/eV per atom; space-group type = P4/mmm
1.0
-3.8288 -2.2048 0.8664
1.5690 -1.1265 4.0670
-2.4370 5.1635 2.3704
I Bi O Ca
1 1 2 1
direct
0.0000 0.0000 0.5000
0.0000 0.0000 0.0000
0.5000 0.0000 0.0000
0.0000 0.5000 0.0000
0.5000 0.5000 0.5000

---

CaBiIO2 (PBE, relaxed); ΔE_f (raw) = -0.476 eV/atom; DOS at the Fermi energy = 1.237 states/eV per atom; space-group type = P4/mmm
1.0
-3.5558 -2.1894 1.7692
2.7995 -2.4535 2.5904
-0.3781 4.0251 4.2210
Bi I O Ca
1 1 2 1
direct
0.5000 0.5000 0.5000
0.0000 0.0000 0.5000
0.5000 0.0000 0.0000
0.0000 0.5000 0.0000
0.0000 0.0000 0.0000

---

CaBi2IO8 (PBE, relaxed); ΔE_f (raw) = -1.129 eV/atom; DOS at the Fermi energy = 0.245 states/eV per atom; space-group type = P2/m
1.0
-0.7205 3.6117 3.6116
1.7928 -3.1756 3.6428
6.3954 2.3631 -1.0876
Bi O I Ca
2 8 1 1
direct
0.5000 0.5000 0.2511
0.5000 0.5000 0.7489
0.6841 0.6846 0.5000
0.8222 0.1792 0.2071
0.7387 0.7403 0.0000
0.1778 0.8208 0.2071
0.3159 0.3154 0.5000
0.1778 0.8208 0.7929
0.2613 0.2597 0.0000
0.8222 0.1792 0.7929
0.0000 0.0000 0.0000
0.0000 0.0000 0.5000

---

Rb2CaBiI6 (PBE, relaxed); ΔE_f (raw) = -1.055 eV/atom; DOS at the Fermi energy = 0.000 states/eV per atom; space-group type = I4/mmm
1.0
8.7497 0.0000 0.0000
0.0000 8.7497 0.0000
4.3749 4.3749 6.7308
Rb I Bi Ca
2 6 1 1
direct
0.2500 0.7500 0.5000
0.7500 0.2500 0.5000
0.7280 0.7280 0.5440
0.2476 0.7524 0.0000
0.2720 0.2720 0.4560
0.2476 0.2476 0.0000
0.7524 0.2476 0.0000
0.7524 0.7524 0.0000
0.0000 0.0000 0.0000
0.5000 0.5000 0.0000

---

RbCaBiI6 (PBE, relaxed); ΔE_f (raw) = -1.079 eV/atom; DOS at the Fermi energy = 0.000 states/eV per atom; space-group type = P312
1.0
8.0882 0.0000 -0.0002
4.0442 7.0046 0.0002
0.0002 -0.0003 8.1434
I Rb Ca Bi
6 1 1 1
direct
0.0037 0.3711 0.2765
0.6252 0.0037 0.2765
0.3711 0.6252 0.2765
0.6252 0.3711 0.7235
0.3711 0.0037 0.7235
0.0037 0.6252 0.7235
0.0000 0.0000 0.0000
0.6666 0.6667 0.5000
0.3333 0.3333 0.5000